Fe4CoPt (PBE-GGA, relaxed); total moment = 10.755 μB/f.u.; excess energy over the best structure of this formula in the dataset = 64 meV per atom; DOS(E_F) = 4.23 states/eV/cell; V = 73.4 Å³/cell
1.0
0.000 3.323 3.323
3.323 0.000 3.323
3.323 3.323 0.000
Fe Co Pt
4 1 1
direct
0.376 0.376 0.376 Fe
0.376 0.376 0.873 Fe
0.376 0.873 0.376 Fe
0.873 0.376 0.376 Fe
0.750 0.750 0.750 Co
0.000 0.000 0.000 Pt